The following is a DFT calculation (PBE) of CoNi after structural relaxation.

abc: 4.0424 7.5202 4.2993
angles: 90.00 90.00 90.00
With the nearest neighbours (Å) after each atom.
Space group Pmmn (No. 59, origin choice 2)
Inequivalent atoms, fractional coordinates:
Co 0.2500 0.0829 0.0789 (multiplicity 4)  5 Co 2.47-2.51, 7 Ni 2.48-2.50
Co 0.2500 0.2500 0.5796 (multiplicity 2)  8 Ni 2.48-2.50, 4 Co 2.49
Ni 0.2500 0.5823 0.5807 (multiplicity 4)  5 Ni 2.47-2.52, 7 Co 2.48-2.50
Ni 0.2500 0.7500 0.0836 (multiplicity 2)  8 Co 2.48-2.50, 4 Ni 2.48-2.50

Properties
theoretical density = 9.0 g/cm3
energy of formation from the pure elements = -0.012 eV/f.u.